# 1
This record from the Alexandria database describes a relaxed structure of MgH18I2O9. The functional is GGA-PBE.

Computed properties:
Uncorrected energy in eV per atom: -4.751
Magnetic moment in μB per formula unit: 0.00

Unit cell a=6.713 b=14.708 c=14.924 alpha=111.73 beta=90.00 gamma=90.00
Element x y z (fractional)
Mg  0.237  0.125  0.375
Mg  0.737  0.375  0.125
Mg  0.763  0.875  0.625
Mg  0.263  0.625  0.875
H  0.241  0.969  0.430
H  0.741  0.531  0.070
H  0.759  0.031  0.570
H  0.259  0.469  0.930
H  0.238  0.281  0.320
H  0.738  0.219  0.180
H  0.762  0.719  0.680
H  0.262  0.781  0.820
H  0.879  0.231  0.412
H  0.379  0.269  0.088
H  0.121  0.769  0.588
H  0.621  0.731  0.912
H  0.221  0.193  0.219
H  0.721  0.307  0.281
H  0.779  0.807  0.781
H  0.279  0.693  0.719
H  0.224  0.056  0.531
H  0.724  0.444  0.969
H  0.776  0.944  0.469
H  0.276  0.556  0.031
H  0.598  0.020  0.340
H  0.098  0.480  0.160
H  0.402  0.980  0.660
H  0.902  0.520  0.840
H  0.189  0.954  0.218
H  0.689  0.546  0.282
H  0.811  0.046  0.782
H  0.311  0.454  0.718
H  0.481  0.229  0.527
H  0.981  0.271  0.973
H  0.519  0.771  0.473
H  0.019  0.729  0.027
H  0.907  0.181  0.487
H  0.407  0.319  0.013
H  0.093  0.819  0.513
H  0.593  0.681  0.987
H  0.568  0.069  0.264
H  0.068  0.431  0.236
H  0.432  0.931  0.736
H  0.932  0.569  0.764
H  0.000  0.018  0.219
H  0.500  0.482  0.281
H  0.000  0.982  0.781
H  0.500  0.518  0.719
H  0.294  0.296  0.533
H  0.794  0.204  0.967
H  0.706  0.704  0.467
H  0.206  0.796  0.033
H  0.248  0.130  0.698
H  0.748  0.370  0.802
H  0.752  0.870  0.302
H  0.252  0.630  0.198
H  0.056  0.417  0.610
H  0.556  0.083  0.890
H  0.944  0.583  0.390
H  0.444  0.917  0.110
H  0.733  0.381  0.449
H  0.233  0.119  0.051
H  0.267  0.619  0.551
H  0.767  0.881  0.949
H  0.578  0.296  0.422
H  0.078  0.204  0.078
H  0.422  0.704  0.578
H  0.922  0.796  0.922
H  0.061  0.333  0.649
H  0.561  0.167  0.851
H  0.939  0.667  0.351
H  0.439  0.833  0.149
H  0.098  0.044  0.672
H  0.598  0.456  0.828
H  0.902  0.956  0.328
H  0.402  0.544  0.172
I  0.739  0.215  0.646
I  0.239  0.285  0.854
I  0.261  0.785  0.354
I  0.761  0.715  0.146
I  0.731  0.035  0.104
I  0.231  0.465  0.396
I  0.269  0.965  0.896
I  0.769  0.535  0.604
O  0.514  0.068  0.325
O  0.014  0.432  0.175
O  0.486  0.932  0.675
O  0.986  0.568  0.825
O  0.098  0.005  0.262
O  0.598  0.495  0.238
O  0.902  0.995  0.738
O  0.402  0.505  0.762
O  0.382  0.245  0.486
O  0.882  0.255  0.014
O  0.618  0.755  0.514
O  0.118  0.745  0.986
O  0.229  0.041  0.460
O  0.729  0.459  0.040
O  0.771  0.959  0.540
O  0.271  0.541  0.960
O  0.706  0.315  0.401
O  0.206  0.185  0.099
O  0.294  0.685  0.599
O  0.794  0.815  0.901
O  0.242  0.209  0.289
O  0.742  0.291  0.211
O  0.758  0.791  0.711
O  0.258  0.709  0.789
O  0.224  0.064  0.650
O  0.724  0.436  0.850
O  0.776  0.936  0.350
O  0.276  0.564  0.150
O  0.149  0.375  0.628
O  0.649  0.125  0.872
O  0.851  0.625  0.372
O  0.351  0.875  0.128
O  0.962  0.182  0.426
O  0.462  0.318  0.074
O  0.038  0.818  0.574
O  0.538  0.682  0.926



# 2
This record from the Alexandria database describes a relaxed structure of Mg2PHI. The functional is GGA-PBE.

Computed properties:
Uncorrected energy in eV per atom: -2.905
Magnetic moment in μB per formula unit: 0.00

Unit cell a=5.131 b=3.841 c=5.131 alpha=90.00 beta=90.00 gamma=90.00
Element x y z (fractional)
I  0.500  0.500  0.500
P  0.000  0.000  0.000
Mg  0.000  0.000  0.500
Mg  0.500  0.000  0.000
H  0.000  0.500  0.000



# 3
This record from the Alexandria database describes a relaxed structure of Rb2MgHI6. The functional is GGA-PBE.

Computed properties:
Uncorrected energy in eV per atom: -2.259
Magnetic moment in μB per formula unit: 0.00

Unit cell a=7.697 b=7.697 c=8.615 alpha=63.47 beta=63.47 gamma=90.00
Element x y z (fractional)
I  0.215  0.215  0.570
I  0.785  0.785  0.430
I  0.272  0.272  0.000
I  0.728  0.728  0.000
I  0.728  0.272  0.000
I  0.272  0.728  0.000
H  0.500  0.500  0.000
Mg  0.000  0.000  0.000
Rb  0.750  0.250  0.500
Rb  0.250  0.750  0.500



Question: Among the records above, which one has the highest uncorrected energy?
Answer: Rb2MgHI6